Material: AlHg2
Method: DFT, GGA-PBEsol
State: relaxed

a = 11.499 Å, b = 3.010 Å, c = 7.637 Å
α = 90.00°, β = 104.84°, γ = 90.00°
Fractional positions:
1 Al 0.000 0.000 0.000
2 Al 0.199 0.500 0.174
3 Al 0.500 0.500 0.000
4 Al 0.699 0.000 0.174
5 Hg 0.192 0.000 0.485
6 Hg 0.252 0.500 0.845
7 Hg 0.426 0.000 0.279
8 Hg 0.477 0.000 0.673
9 Hg 0.692 0.500 0.485
10 Hg 0.752 0.000 0.845
11 Hg 0.926 0.500 0.279
12 Hg 0.977 0.500 0.673

Material: Al4Hg
Method: DFT, GGA-PBEsol
State: relaxed

a = 3.936 Å, b = 3.936 Å, c = 12.577 Å
α = 90.00°, β = 90.00°, γ = 90.00°
Fractional positions:
1 Al 0.000 0.000 0.103
2 Al 0.000 0.000 0.897
3 Al 0.000 0.500 0.250
4 Al 0.000 0.500 0.750
5 Al 0.500 0.000 0.250
6 Al 0.500 0.000 0.750
7 Al 0.500 0.500 0.397
8 Al 0.500 0.500 0.603
9 Hg 0.000 0.000 0.500
10 Hg 0.500 0.500 0.000

Summary of energy of formation from the pure elements in eV per atom
0.07; 0.17
(order as listed above)